Here is a geometry-optimized TcOs2Au structure from Alexandria via LeMat-Bulk. Energies are from PBE.

a = 2.7674 Å, b = 2.7674 Å, c = 7.9631 Å
α = 90.00°, β = 90.00°, γ = 90.00°
Sites, in units of the cell vectors:
Os  0.0000  0.0000  0.4823
Os  0.0000  0.0000  0.0177
Au  0.5000  0.5000  0.7500
Tc  0.5000  0.5000  0.2500

Results
- Total magnetization: 0.00 Bohr magnetons per cell
- ΔE_f: 0.368 eV per atom
- E above lowest polymorph: 48 kJ/mol of formula units